Entry 1:
Compound: SrWS2
Source: the Alexandria database
Functional: GGA-PBEsol
Structure: optimized geometry

Computed properties:
- Calculated total energy: -6.679 eV/atom
- Fermi-level density of states: 0.73 states/eV/atom
- Total moment: 0.00 μB per formula unit
- Uncorrected formation energy: -0.57 eV per atom
- Symmetry: I-42d (122)

Lattice parameters (Å, degrees): 7.4698 7.4698 7.4698 135.81 135.81 64.28
Atoms (fractional coordinates):
Sr 0.0000 0.0000 0.0000
Sr 0.7500 0.2500 0.5000
W 0.2500 0.7500 0.5000
W 0.5000 0.5000 0.0000
S 0.2232 0.6250 0.0982
S 0.3750 0.4732 0.5982
S 0.5268 0.1250 0.9018
S 0.8750 0.7768 0.4018

Entry 2:
Compound: ZrZn2Au
Source: the Alexandria database
Functional: GGA-PBEsol
Structure: optimized geometry

Computed properties:
- Calculated formation energy: -0.3713 eV per atom
- Calculated total energy: -4.416 eV/atom
- Fermi-level density of states: 0.32 states/eV/atom
- Total moment: 0.00 μB per formula unit
- Symmetry: I-4m2 (119)

Lattice parameters (Å, degrees): 4.5297 4.5297 4.5297 119.67 119.67 90.58
Atoms (fractional coordinates):
Zr 0.0000 0.0000 0.0000
Zn 0.2500 0.7500 0.5000
Zn 0.5000 0.5000 0.0000
Au 0.7500 0.2500 0.5000

Entry 3:
Compound: MgZr2Rh
Source: the Alexandria database
Functional: GGA-PBEsol
Structure: optimized geometry

Computed properties:
- Calculated formation energy: -0.3861 eV per atom
- Calculated total energy: -7.395 eV/atom
- Polymorph energy (0 for the lowest one): 0.000 eV/atom
- Fermi-level density of states: 0.47 states/eV/atom
- Total moment: 0.00 μB per formula unit
- Symmetry: P4mm (99)

Lattice parameters (Å, degrees): 3.2274 3.2274 7.3555 90.00 90.00 90.00
Atoms (fractional coordinates):
Mg 0.0000 0.0000 0.0000
Zr 0.0000 0.0000 0.4178
Zr 0.5000 0.5000 0.6989
Rh 0.5000 0.5000 0.2166

Entry 4:
Compound: RbAlAgF6
Source: the Alexandria database
Functional: GGA-PBEsol
Structure: optimized geometry

Computed properties:
- Calculated total energy: -4.848 eV/atom
- Fermi-level density of states: 0.26 states/eV/atom
- Total moment: 0.00 μB per formula unit
- Uncorrected formation energy: -2.63 eV per atom
- Symmetry: Pnma (62)

Lattice parameters (Å, degrees): 7.1807 7.1731 10.0561 90.00 90.00 90.00
Atoms (fractional coordinates):
Rb 0.0370 0.2500 0.1250
Rb 0.4630 0.7500 0.6250
Rb 0.5370 0.2500 0.3750
Rb 0.9630 0.7500 0.8750
Al 0.0000 0.0000 0.5000
Al 0.0000 0.5000 0.5000
Al 0.5000 0.0000 0.0000
Al 0.5000 0.5000 0.0000
Ag 0.1923 0.2500 0.7561
Ag 0.3077 0.7500 0.2561
Ag 0.6923 0.2500 0.7439
Ag 0.8077 0.7500 0.2439
F 0.0541 0.2500 0.5080
F 0.0621 0.7500 0.1581
F 0.1085 0.5300 0.6613
F 0.1085 0.9700 0.6613
F 0.2239 0.5382 0.4230
F 0.2239 0.9618 0.4230
F 0.2761 0.0382 0.9230
F 0.2761 0.4618 0.9230
F 0.3915 0.0300 0.1613
F 0.3915 0.4700 0.1613
F 0.4379 0.2500 0.6581
F 0.4459 0.7500 0.0080
F 0.5541 0.2500 0.9920
F 0.5621 0.7500 0.3419
F 0.6085 0.5300 0.8387
F 0.6085 0.9700 0.8387
F 0.7239 0.5382 0.0770
F 0.7239 0.9618 0.0770
F 0.7761 0.0382 0.5770
F 0.7761 0.4618 0.5770
F 0.8915 0.0300 0.3387
F 0.8915 0.4700 0.3387
F 0.9379 0.2500 0.8419
F 0.9459 0.7500 0.4920

Entry 5:
Compound: KCaP3
Source: the Alexandria database
Functional: GGA-PBEsol
Structure: optimized geometry

Computed properties:
- Calculated formation energy: 1.1001 eV per atom
- Calculated total energy: -3.028 eV/atom
- Fermi-level density of states: 0.72 states/eV/atom
- Total moment: 0.00 μB per formula unit
- Symmetry: Pm-3m (221)

Lattice parameters (Å, degrees): 5.0829 5.0829 5.0829 90.00 90.00 90.00
Atoms (fractional coordinates):
K 0.0000 0.0000 0.0000
Ca 0.5000 0.5000 0.5000
P 0.0000 0.0000 0.5000
P 0.0000 0.5000 0.0000
P 0.5000 0.0000 0.0000

Entry 6:
Compound: HoAsO4
Source: the Alexandria database
Functional: GGA-PBEsol
Structure: optimized geometry

Computed properties:
- Calculated total energy: -7.532 eV/atom
- Fermi-level density of states: 0.00 states/eV/atom
- Total moment: 0.00 μB per formula unit
- Uncorrected formation energy: -2.36 eV per atom
- Symmetry: P2_1/c (14)

Lattice parameters (Å, degrees): 6.5980 6.8970 8.0094 90.00 127.03 90.00
Atoms (fractional coordinates):
Ho 0.1936 0.1440 0.2773
Ho 0.1936 0.3560 0.7773
Ho 0.8064 0.6440 0.2227
Ho 0.8064 0.8560 0.7227
As 0.3114 0.6592 0.1998
As 0.3114 0.8408 0.6998
As 0.6886 0.1592 0.3002
As 0.6886 0.3408 0.8002
O 0.1113 0.6465 0.5991
O 0.1113 0.8535 0.0991
O 0.1555 0.0092 0.7408
O 0.1555 0.4908 0.2408
O 0.3604 0.6031 0.0180
O 0.3604 0.8969 0.5180
O 0.3778 0.2120 0.1044
O 0.3778 0.2880 0.6044
O 0.6222 0.7120 0.3956
O 0.6222 0.7880 0.8956
O 0.6396 0.1031 0.4820
O 0.6396 0.3969 0.9820
O 0.8445 0.5092 0.7592
O 0.8445 0.9908 0.2592
O 0.8887 0.1465 0.9009
O 0.8887 0.3535 0.4009

Entry 7:
Compound: LiSi2Rh2
Source: the Alexandria database
Functional: GGA-PBEsol
Structure: optimized geometry

Computed properties:
- Calculated total energy: -6.669 eV/atom
- Polymorph energy (0 for the lowest one): 0.089 eV/atom
- Fermi-level density of states: 0.38 states/eV/atom
- Total moment: 0.00 μB per formula unit
- Uncorrected formation energy: -0.72 eV per atom
- Symmetry: I4/mmm (139)

Lattice parameters (Å, degrees): 5.5602 5.5602 5.5602 137.88 137.88 61.08
Atoms (fractional coordinates):
Li 0.0000 0.0000 0.0000
Si 0.3768 0.3768 0.0000
Si 0.6232 0.6232 0.0000
Rh 0.2500 0.7500 0.5000
Rh 0.7500 0.2500 0.5000

Entry 8:
Compound: Cd2SiSe
Source: the Alexandria database
Functional: GGA-PBEsol
Structure: optimized geometry

Computed properties:
- Calculated total energy: -2.731 eV/atom
- Fermi-level density of states: 0.38 states/eV/atom
- Total moment: 0.00 μB per formula unit
- Uncorrected formation energy: 0.27 eV per atom
- Symmetry: Pmmm (47)

Lattice parameters (Å, degrees): 3.6738 4.3793 5.1061 90.00 90.00 90.00
Atoms (fractional coordinates):
Cd 0.0000 0.0000 0.0000
Cd 0.5000 0.0000 0.5000
Si 0.0000 0.5000 0.5000
Se 0.5000 0.5000 0.0000

Which value of total moment does entry 6 give? 0.00 μB per formula unit

Which value of total moment does entry 4 give? 0.00 μB per formula unit

Which value of total moment does entry 3 give? 0.00 μB per formula unit